The following is a GGA-PBE calculation of a geometry-optimized Rb2NaSrH structure, from Alexandria via LeMat-Bulk.

Its final energy is -1.64 eV/atom.

The space group is P4/mmm (No. 123) and the conventional cell measures 6.676, 6.676 and 5.184 Å, with angles of 90.00, 90.00 and 90.00 degrees. The asymmetric unit holds Rb at (0.000, 0.500, 0.000), Na at (0.000, 0.000, 0.500), Sr at (0.500, 0.500, 0.500) and H at (0.500, 0.500, 0.000).

The following is a GGA-PBE calculation of a geometry-optimized Rb2NaTeH structure, from Alexandria via LeMat-Bulk.

The calculation puts the energy above the most stable polymorph in this dataset at 0.0 meV per atom.

The space group is P4/mmm (No. 123) and the conventional cell measures 5.609, 5.609 and 5.086 Å, with angles of 90.00, 90.00 and 90.00 degrees. The asymmetric unit holds Rb at (0.000, 0.500, 0.000), Na at (0.000, 0.000, 0.500), Te at (0.500, 0.500, 0.500) and H at (0.000, 0.000, 0.000).

The following is a GGA-PBE calculation of a geometry-optimized RbNaTeH2 structure, from Alexandria via LeMat-Bulk.

Its final energy is -1.92 eV/atom.

The space group is P4/mmm (No. 123) and the conventional cell measures 4.593, 4.593 and 7.051 Å, with angles of 90.00, 90.00 and 90.00 degrees. The asymmetric unit holds Rb at (0.000, 0.000, 0.000), Na at (0.000, 0.000, 0.500), Te at (0.500, 0.500, 0.500) and H at (0.000, 0.500, 0.000).